Entry 1:
DFT (GGA-PBEsol) results for crystalline BaSiBr2 at its relaxed geometry.

DOS at the Fermi energy: 4.9 states/eV/cell
ΔE_f (raw): -64 kJ per mole of atoms
electronic total energy: -3.57 eV/atom

Cell and atoms, written as CIF:
```
data_BaSiBr2
_chemical_formula_sum 'Ba2 Si2 Br4'
_space_group_name_H-M_alt 'I 4/m m m'
_space_group_IT_number 139
_space_group_name_Hall '-I 4 2'
_cell_length_a 5.112
_cell_length_b 5.112
_cell_length_c 8.823
_cell_angle_alpha 90.00
_cell_angle_beta 90.00
_cell_angle_gamma 90.00
loop_
_atom_site_label
_atom_site_fract_x
_atom_site_fract_y
_atom_site_fract_z
Ba1 0.000 0.000 0.000
Si1 0.000 0.000 0.500
Br1 0.000 0.500 0.250
```



Entry 2:
DFT (GGA-PBEsol) results for crystalline SrCaHf2O6 at its relaxed geometry.

DOS at the Fermi energy: 0.0 states/eV/cell
ΔE_f (raw): -332 kJ per mole of atoms
electronic total energy: -9.09 eV/atom

Cell and atoms, written as CIF:
```
data_SrCaHf2O6
_chemical_formula_sum 'Sr2 Ca2 Hf4 O12'
_space_group_name_H-M_alt 'P m c 21'
_space_group_IT_number 26
_space_group_name_Hall 'P 2c -2'
_cell_length_a 8.026
_cell_length_b 5.629
_cell_length_c 5.738
_cell_angle_alpha 90.00
_cell_angle_beta 90.00
_cell_angle_gamma 90.00
loop_
_atom_site_label
_atom_site_fract_x
_atom_site_fract_y
_atom_site_fract_z
Sr1 0.000 0.239 0.000
Ca1 0.500 0.258 0.082
Hf1 0.255 0.249 0.537
O1 0.000 0.325 0.554
O2 0.211 0.042 0.246
O3 0.303 0.455 0.830
O4 0.500 0.151 0.500
```



Entry 3:
DFT (GGA-PBEsol) results for crystalline BiTe2MoN at its relaxed geometry.

DOS at the Fermi energy: 2.7 states/eV/cell
ΔE_f (raw): 11 kJ per mole of atoms
electronic total energy: -6.22 eV/atom

Cell and atoms, written as CIF:
```
data_BiTe2MoN
_chemical_formula_sum 'Bi1 Te2 Mo1 N1'
_space_group_name_H-M_alt 'P 4/m m m'
_space_group_IT_number 123
_space_group_name_Hall '-P 4 2'
_cell_length_a 5.471
_cell_length_b 5.471
_cell_length_c 3.785
_cell_angle_alpha 90.00
_cell_angle_beta 90.00
_cell_angle_gamma 90.00
loop_
_atom_site_label
_atom_site_fract_x
_atom_site_fract_y
_atom_site_fract_z
Bi1 0.000 0.000 0.000
Te1 0.000 0.500 0.500
Mo1 0.500 0.500 0.500
N1 0.500 0.500 0.000
```



Entry 4:
DFT (GGA-PBEsol) results for crystalline In2SbP at its relaxed geometry.

DOS at the Fermi energy: 3.4 states/eV/cell
ΔE_f (raw): 10 kJ per mole of atoms
electronic total energy: -3.97 eV/atom

Cell and atoms, written as CIF:
```
data_In2SbP
_chemical_formula_sum 'In4 Sb2 P2'
_space_group_name_H-M_alt 'C 1 m 1'
_space_group_IT_number 8
_space_group_name_Hall 'C -2y'
_cell_length_a 10.775
_cell_length_b 3.572
_cell_length_c 5.562
_cell_angle_alpha 90.00
_cell_angle_beta 116.26
_cell_angle_gamma 90.00
loop_
_atom_site_label
_atom_site_fract_x
_atom_site_fract_y
_atom_site_fract_z
In1 0.000 0.000 0.000
In2 0.209 0.000 0.757
Sb1 0.308 0.500 0.342
P1 0.499 0.000 0.400
```